{"formula": "BaTaSe2Br", "functional": "GGA-PBE", "state": "relaxed", "cell": [[5.117, 0.000, 0.000], [0.000, 5.117, 0.000], [0.000, 0.000, 5.279]], "species": ["Se", "Se", "Ba", "Br", "Ta"], "fractional_positions": [[0.000, 0.500, 0.000], [0.500, 0.000, 0.000], [0.500, 0.500, 0.500], [0.000, 0.000, 0.500], [0.000, 0.000, 0.000]], "crystal_system": "tetragonal", "space_group": "P4/mmm", "polymorph_energy_mev_per_atom": 0, "n_ef_per_ev_cell": 2.6, "formation_energy_uncorrected_ev_per_fu": -5.03, "dft_energy_ha_per_atom": -0.2018, "total_magnetization_mub_per_fu": 0.0}